Record 1
Entry from the Alexandria database: GePWS2 after structural relaxation (PBE-GGA).

a = 4.6035 Å, b = 4.6035 Å, c = 4.9635 Å
α = 90.00°, β = 90.00°, γ = 90.00°
Sites, in units of the cell vectors:
Ge1 0.0000 0.0000 0.0000
P1 0.5000 0.5000 0.0000
W1 0.5000 0.5000 0.5000
S1 0.0000 0.5000 0.5000
S2 0.5000 0.0000 0.5000

## Properties
Its symmetry is P4/mmm, No. 123. The formation energy (no corrections) comes out at 0.38 eV/atom. The energy above the most stable polymorph in this dataset comes out at 0 meV per atom. As for the spin magnetization: 0.00 μB per cell.

Record 2
Entry from the Alexandria database: MnMo2Au after structural relaxation (PBE-GGA).

a = 4.4724 Å, b = 4.4724 Å, c = 4.4724 Å
α = 60.00°, β = 60.00°, γ = 60.00°
Sites, in units of the cell vectors:
Mn1 0.0000 0.0000 0.0000
Mo1 0.5000 0.5000 0.5000
Mo2 0.7500 0.7500 0.7500
Au1 0.2500 0.2500 0.2500

## Properties
Its symmetry is F-43m, No. 216. As for the formation energy: 1.35 eV/f.u. The energy above the most stable polymorph in this dataset comes out at 171 meV per atom. As for the spin magnetization: 3.00 μB per cell.

Record 3
Entry from the Alexandria database: KPaPt4 after structural relaxation (PBE-GGA).

a = 5.4598 Å, b = 5.4598 Å, c = 5.4598 Å
α = 60.00°, β = 60.00°, γ = 60.00°
Sites, in units of the cell vectors:
K1 0.0000 0.0000 0.0000
Pa1 0.2500 0.2500 0.2500
Pt1 0.1247 0.6251 0.6251
Pt2 0.6251 0.1247 0.6251
Pt3 0.6251 0.6251 0.1247
Pt4 0.6251 0.6251 0.6251

## Properties
Its symmetry is F-43m, No. 216. As for the formation energy: -3.19 eV/f.u. As for the spin magnetization: 0.39 μB per cell.

Record 4
Entry from the Alexandria database: CdOsCl2F6 after structural relaxation (PBE-GGA).

a = 5.7175 Å, b = 5.7175 Å, c = 6.6512 Å
α = 90.00°, β = 90.00°, γ = 121.04°
Sites, in units of the cell vectors:
Cd1 0.0000 0.0000 0.0000
Os1 0.5000 0.5000 0.5000
Cl1 0.2450 0.7550 0.0000
Cl2 0.7550 0.2450 0.0000
F1 0.2616 0.2616 0.2926
F2 0.2616 0.2616 0.7074
F3 0.3102 0.6898 0.5000
F4 0.6898 0.3102 0.5000
F5 0.7384 0.7384 0.2926
F6 0.7384 0.7384 0.7074

## Properties
Its symmetry is Cmmm, No. 65. The formation energy (no corrections) comes out at -1.49 eV/atom. As for the spin magnetization: 3.22 μB per cell.

Record 5
Entry from the Alexandria database: Li3CuNi3 after structural relaxation (PBE-GGA).

a = 10.1235 Å, b = 10.1235 Å, c = 2.4966 Å
α = 90.00°, β = 90.00°, γ = 120.00°
Sites, in units of the cell vectors:
Li1 0.1338 0.7546 0.2500
Li2 0.2454 0.3792 0.2500
Li3 0.3792 0.1338 0.7500
Li4 0.6208 0.8662 0.2500
Li5 0.7546 0.6208 0.7500
Li6 0.8662 0.2454 0.7500
Cu1 0.3333 0.6667 0.2500
Cu2 0.6667 0.3333 0.7500
Ni1 0.1005 0.5043 0.7500
Ni2 0.4039 0.8995 0.7500
Ni3 0.4957 0.5961 0.7500
Ni4 0.5043 0.4039 0.2500
Ni5 0.5961 0.1005 0.2500
Ni6 0.8995 0.4957 0.2500

## Properties
Its symmetry is P6_3/m, No. 176. As for the formation energy: 0.57 eV/f.u. As for the spin magnetization: 0.48 μB per cell.

Record 6
Entry from the Alexandria database: Li3Nd2SmTe6 after structural relaxation (PBE-GGA).

a = 7.7040 Å, b = 7.7040 Å, c = 7.5418 Å
α = 99.80°, β = 99.80°, γ = 120.00°
Sites, in units of the cell vectors:
Li1 0.0000 0.0000 0.0000
Li2 0.3328 0.6672 0.0000
Li3 0.6672 0.3328 0.0000
Nd1 0.1666 0.8334 0.5000
Nd2 0.8334 0.1666 0.5000
Sm1 0.5000 0.5000 0.5000
Te1 0.0823 0.4129 0.2384
Te2 0.2566 0.2566 0.7612
Te3 0.4129 0.0823 0.2384
Te4 0.5871 0.9177 0.7616
Te5 0.7434 0.7434 0.2388
Te6 0.9177 0.5871 0.7616

## Properties
Its symmetry is C2/m, No. 12. The formation energy (no corrections) comes out at -1.30 eV/atom. As for the spin magnetization: 0.00 μB per cell.

Question: spin magnetization of number 2 (MnMo2Au)?
Answer: 3.00 μB per cell